Computed, not measured: crystalline TbNd2Dy2Y at its relaxed geometry at the GGA-PBE level of DFT.

The space group is P2_1/m (No. 11) and the conventional cell measures 6.5667, 6.8349 and 8.9482 Å, with angles of 90.00, 96.10 and 90.00 degrees. Symmetry generates all atoms from Tb at (0.0727, 0.2500, 0.4904), Nd at (0.3226, 0.7500, 0.8492), Nd at (0.4138, 0.7500, 0.4797), Dy at (0.1732, 0.0016, 0.1669) and Y at (0.3156, 0.2500, 0.8432).

The size of the total moment is 0.000 μB/atom. The calculation puts the uncorrected energy at -4.836 eV/atom.